# GGA-PBE InFeHg, relaxed
# energy relative to the lowest polymorph listed for this composition: 0.0 meV/atom
# ΔE_f: 0.361 eV/atom
data_InFeHg
_chemical_formula_sum 'In1 Fe1 Hg1'
_symmetry_space_group_name_H-M 'P 1'
_symmetry_Int_Tables_number 1
_cell_length_a 6.789
_cell_length_b 6.789
_cell_length_c 6.789
_cell_angle_alpha 154.41
_cell_angle_beta 154.41
_cell_angle_gamma 36.50
loop_
_symmetry_equiv_pos_as_xyz
'x,y,z'
loop_
_atom_site_label
_atom_site_type_symbol
_atom_site_fract_x
_atom_site_fract_y
_atom_site_fract_z
In1 In 0.000 0.000 0.000
Fe1 Fe 0.352 0.352 0.000
Hg1 Hg 0.703 0.703 0.000